Density functional theory data (PBE) for a relaxed structure of OsAuI2N.

a b c (Å): 5.9154 5.9154 3.7400
angles (deg): 90.00 90.00 90.00
Last column: nearest neighbours and their distance in Å.
Sites, in units of the cell vectors:
1 Os 0.0000 0.0000 0.0000  8 I 3.50, 2 Os 3.74
2 Au 0.5000 0.5000 0.5000  2 N 1.87
3 I 0.0000 0.5000 0.5000  2 Au 2.96
4 I 0.5000 0.0000 0.5000  2 Au 2.96
5 N 0.5000 0.5000 0.0000  2 Au 1.87

E_form (uncorrected) in eV per atom: 1.9454
ΔE to the lowest computed polymorph in eV/f.u.: 6.627



Density functional theory data (PBE) for a relaxed structure of K4Pu3GaS8.

a b c (Å): 8.6560 8.6560 8.6560
angles (deg): 56.16 56.16 56.16
Last column: nearest neighbours and their distance in Å.
Sites, in units of the cell vectors:
1 K 0.0000 0.0000 0.0000  6 S 3.27
2 K 0.0000 0.5000 0.5000  6 S 3.20-3.23
3 K 0.5000 0.0000 0.5000  6 S 3.20-3.23
4 K 0.5000 0.5000 0.0000  6 S 3.20-3.23
5 Pu 0.0000 0.0000 0.5000  6 S 2.76-2.77
6 Pu 0.0000 0.5000 0.0000  6 S 2.76-2.77
7 Pu 0.5000 0.0000 0.0000  6 S 2.76-2.77
8 Ga 0.5000 0.5000 0.5000  6 S 2.71
9 S 0.2336 0.2336 0.2336  3 Pu 2.77
10 S 0.2362 0.7286 0.7286  1 Ga 2.71, 2 Pu 2.76
11 S 0.2714 0.2714 0.7638  1 Ga 2.71, 2 Pu 2.76
12 S 0.2714 0.7638 0.2714  1 Ga 2.71, 2 Pu 2.76
13 S 0.7286 0.2362 0.7286  1 Ga 2.71, 2 Pu 2.76
14 S 0.7286 0.7286 0.2362  1 Ga 2.71, 2 Pu 2.76
15 S 0.7638 0.2714 0.2714  1 Ga 2.71, 2 Pu 2.76
16 S 0.7664 0.7664 0.7664  3 Pu 2.77

E_form (uncorrected) in eV per atom: -1.3652



Density functional theory data (PBE) for a relaxed structure of Sr2LiMn.

a b c (Å): 10.7504 10.7504 10.7504
angles (deg): 21.42 21.42 21.42
Last column: nearest neighbours and their distance in Å.
Sites, in units of the cell vectors:
1 Sr 0.2395 0.2395 0.2395  3 Mn 3.25
2 Sr 0.7605 0.7605 0.7605  3 Mn 3.25
3 Li 0.0000 0.0000 0.0000  6 Sr 3.75, 6 Li 4.00
4 Mn 0.5000 0.5000 0.5000  6 Sr 3.25

ΔH_f (0 K) in eV per atom: 0.482
ΔE to the lowest computed polymorph in eV/f.u.: 0.627



Density functional theory data (PBE) for a relaxed structure of Be3PPd.

a b c (Å): 4.2074 4.2074 4.2074
angles (deg): 90.00 90.00 90.00
Last column: nearest neighbours and their distance in Å.
Sites, in units of the cell vectors:
1 Be 0.0000 0.0000 0.5000  2 Pd 2.10
2 Be 0.0000 0.5000 0.0000  2 Pd 2.10
3 Be 0.5000 0.0000 0.0000  2 Pd 2.10
4 P 0.5000 0.5000 0.5000  12 Be 2.98
5 Pd 0.0000 0.0000 0.0000  6 Be 2.10

ΔH_f (0 K) in eV per atom: 0.657
ΔE to the lowest computed polymorph in eV/f.u.: 0.882



| no. | size of the total moment (μB/atom) |
| --- | --- |
| 1 | 0.62 |
| 2 | 0.90 |
| 3 | 0.91 |
| 4 | 0.00 |